[1]
# Li8Mn7FeB8O24, optimized geometry, DFT GGA+U
# Energy relative to the lowest polymorph listed for this composition: 0.03 kJ/mol of atoms
# Density: 3.2 g/cm3
data_Li8Mn7FeB8O24
_cell_length_a 5.2840
_cell_length_b 6.0178
_cell_length_c 17.6817
_cell_angle_alpha 90.01
_cell_angle_beta 98.58
_cell_angle_gamma 113.49
_symmetry_space_group_name_H-M 'P 1'
_symmetry_Int_Tables_number 1
loop_
_symmetry_equiv_pos_as_xyz
'x,y,z'
loop_
_atom_site_label
_atom_site_type_symbol
_atom_site_fract_x
_atom_site_fract_y
_atom_site_fract_z
Li1 Li 0.0000 0.0000 0.0000
Li2 Li 0.0296 0.0664 0.7183
Li3 Li 0.2476 0.7512 0.7512
Li4 Li 0.2832 0.8197 0.4679
Li5 Li 0.4997 0.5005 0.5018
Li6 Li 0.5327 0.5692 0.2171
Li7 Li 0.7496 0.2502 0.2510
Li8 Li 0.7851 0.3206 0.9670
Mn1 Mn 0.0372 0.5007 0.5866
Mn2 Mn 0.2471 0.3216 0.8805
Mn3 Mn 0.2879 0.2507 0.3361
Mn4 Mn 0.4946 0.0701 0.6335
Mn5 Mn 0.5381 0.0004 0.0858
Mn6 Mn 0.7445 0.8187 0.3826
Mn7 Mn 0.9950 0.5690 0.1323
Fe1 Fe 0.7925 0.7534 0.8386
B1 B 0.1313 0.1053 0.1669
B2 B 0.1513 0.7142 0.3014
B3 B 0.3837 0.8542 0.9159
B4 B 0.4019 0.4631 0.0506
B5 B 0.6304 0.6064 0.6684
B6 B 0.6530 0.2175 0.8016
B7 B 0.8813 0.3555 0.4174
B8 B 0.9010 0.9644 0.5518
O1 O 0.1103 0.4497 0.4750
O2 O 0.1292 0.9028 0.5527
O3 O 0.1320 0.9543 0.1065
O4 O 0.1495 0.9083 0.9148
O5 O 0.1507 0.8655 0.3617
O6 O 0.1744 0.3683 0.9926
O7 O 0.3606 0.1993 0.2245
O8 O 0.3791 0.6521 0.3020
O9 O 0.3922 0.7079 0.8555
O10 O 0.3993 0.6142 0.1108
O11 O 0.4020 0.6690 0.6664
O12 O 0.4210 0.1220 0.7446
O13 O 0.6094 0.9503 0.9743
O14 O 0.6306 0.4019 0.0520
O15 O 0.6329 0.4556 0.6080
O16 O 0.6531 0.3687 0.8621
O17 O 0.6532 0.4174 0.4166
O18 O 0.6722 0.8699 0.4940
O19 O 0.8563 0.6993 0.7267
O20 O 0.8802 0.1559 0.8016
O21 O 0.8820 0.2041 0.3571
O22 O 0.8997 0.1159 0.6119
O23 O 0.9032 0.1667 0.1664
O24 O 0.9220 0.6202 0.2438

[2]
# Li8Mn7FeB8O24, optimized geometry, DFT GGA+U
# Energy relative to the lowest polymorph listed for this composition: 0.00 kJ/mol of atoms
# Density: 3.2 g/cm3
data_Li8Mn7FeB8O24
_cell_length_a 5.2432
_cell_length_b 9.0904
_cell_length_c 10.5115
_cell_angle_alpha 88.30
_cell_angle_beta 88.93
_cell_angle_gamma 89.68
_symmetry_space_group_name_H-M 'P 1'
_symmetry_Int_Tables_number 1
loop_
_symmetry_equiv_pos_as_xyz
'x,y,z'
loop_
_atom_site_label
_atom_site_type_symbol
_atom_site_fract_x
_atom_site_fract_y
_atom_site_fract_z
Li1 Li 0.0000 0.0000 0.0000
Li2 Li 0.0151 0.9940 0.5008
Li3 Li 0.3258 0.3421 0.2503
Li4 Li 0.3674 0.3290 0.7513
Li5 Li 0.4979 0.5013 0.0024
Li6 Li 0.5147 0.4932 0.5011
Li7 Li 0.8229 0.8432 0.2524
Li8 Li 0.8663 0.8292 0.7521
Mn1 Mn 0.0092 0.6675 0.4670
Mn2 Mn 0.0104 0.3340 0.9665
Mn3 Mn 0.3572 0.6672 0.7172
Mn4 Mn 0.5088 0.1644 0.4654
Mn5 Mn 0.5086 0.8349 0.9692
Mn6 Mn 0.8368 0.5072 0.2171
Mn7 Mn 0.8562 0.1669 0.7163
Fe1 Fe 0.3319 0.0098 0.2157
B1 B 0.0068 0.3353 0.4583
B2 B 0.0148 0.6673 0.9599
B3 B 0.3339 0.6714 0.2107
B4 B 0.3519 0.9973 0.7094
B5 B 0.5049 0.8359 0.4583
B6 B 0.5152 0.1679 0.9598
B7 B 0.8375 0.1673 0.2084
B8 B 0.8522 0.4973 0.7088
O1 O 0.0017 0.3790 0.7515
O2 O 0.0812 0.6854 0.2530
O3 O 0.0919 0.9818 0.6937
O4 O 0.2685 0.3471 0.4426
O5 O 0.2744 0.6505 0.9284
O6 O 0.3492 0.9567 0.4261
O7 O 0.3713 0.0476 0.0033
O8 O 0.3964 0.7038 0.5028
O9 O 0.4042 0.3055 0.9444
O10 O 0.4422 0.5335 0.1946
O11 O 0.4661 0.1330 0.6781
O12 O 0.4781 0.7975 0.1806
O13 O 0.5013 0.8793 0.7527
O14 O 0.5837 0.1787 0.2490
O15 O 0.5923 0.4820 0.6934
O16 O 0.7666 0.8491 0.4441
O17 O 0.7748 0.1499 0.9284
O18 O 0.8518 0.4572 0.4276
O19 O 0.8723 0.5462 0.0037
O20 O 0.8960 0.2036 0.5020
O21 O 0.9018 0.8042 0.9446
O22 O 0.9510 0.0302 0.1941
O23 O 0.9666 0.6332 0.6784
O24 O 0.9801 0.2938 0.1791

[3]
# Li6Mn5FeB6O18, optimized geometry, DFT GGA+U
# Energy relative to the lowest polymorph listed for this composition: 18.42 kJ/mol of atoms
# Density: 3.3 g/cm3
data_Li6Mn5FeB6O18
_cell_length_a 8.2166
_cell_length_b 6.2866
_cell_length_c 8.2233
_cell_angle_alpha 90.00
_cell_angle_beta 119.84
_cell_angle_gamma 90.00
_symmetry_space_group_name_H-M 'P 1 m 1'
_symmetry_Int_Tables_number 6
loop_
_symmetry_equiv_pos_as_xyz
'x,y,z'
'x,-y,z'
loop_
_atom_site_label
_atom_site_type_symbol
_atom_site_fract_x
_atom_site_fract_y
_atom_site_fract_z
Li1 Li 0.0000 0.2471 0.0000
Li2 Li 0.3175 0.2477 0.5730
Li3 Li 0.7402 0.2499 0.3154
Mn1 Mn 0.0320 0.0000 0.6692
Mn2 Mn 0.0320 0.5000 0.6681
Mn3 Mn 0.3935 0.0000 0.2830
Mn4 Mn 0.6368 0.0000 0.9302
Mn5 Mn 0.6405 0.5000 0.9321
Fe1 Fe 0.3821 0.5000 0.2831
B1 B 0.0165 0.0000 0.2930
B2 B 0.0211 0.5000 0.2955
B3 B 0.3555 0.2485 0.9671
B4 B 0.6854 0.2476 0.6319
O1 O 0.2109 0.0000 0.4029
O2 O 0.2153 0.5000 0.4102
O3 O 0.2444 0.2497 0.7735
O4 O 0.2738 0.2457 0.0808
O5 O 0.5505 0.2505 0.0491
O6 O 0.5757 0.2477 0.4371
O7 O 0.5986 0.2486 0.7398
O8 O 0.8787 0.2501 0.7171
O9 O 0.9057 0.0000 0.3786
O10 O 0.9066 0.5000 0.3771
O11 O 0.9293 0.0000 0.0984
O12 O 0.9403 0.5000 0.1019

> The highest density belongs to which entry?

Li6Mn5FeB6O18

> Look up the density of the third one.

3.3 g/cm3

> The highest energy relative to the lowest polymorph listed for this composition belongs to which entry?

Li6Mn5FeB6O18